This record from Alexandria via LeMat-Bulk describes a relaxed YErGa4 crystal. The functional is PBE.

Computed properties:
Uncorrected energy = -4.48 eV/atom
ΔE_f = -3.75 eV/f.u.
Offset from the most stable computed form = 0.006 eV per atom
ρ = 7.29 g cm⁻³

```
data_YErGa4
_chemical_formula_sum 'Y1 Er1 Ga4'
_cell_length_a 4.3249
_cell_length_b 4.3249
_cell_length_c 7.5245
_cell_angle_alpha 90.00
_cell_angle_beta 90.00
_cell_angle_gamma 120.00
_space_group_name_H-M_alt 'P 6/m m m'
_space_group_IT_number 191
_space_group_name_Hall '-P 6 2'
loop_
_atom_site_label
_atom_site_fract_x
_atom_site_fract_y
_atom_site_fract_z
_atom_site_occupancy
Y1 0.0000 0.0000 0.0000 1
Er1 0.0000 0.0000 0.5000 1
Ga1 0.3333 0.6667 0.2539 1
```



This record from Alexandria via LeMat-Bulk describes a relaxed YErGa2 crystal. The functional is PBE.

Computed properties:
Uncorrected energy = -4.92 eV/atom
ΔE_f = -2.59 eV/f.u.
Offset from the most stable computed form = 0.000 eV per atom
ρ = 6.92 g cm⁻³

```
data_YErGa2
_chemical_formula_sum 'Y2 Er2 Ga4'
_cell_length_a 4.033
_cell_length_b 4.344
_cell_length_c 10.841
_cell_angle_alpha 90.00
_cell_angle_beta 90.00
_cell_angle_gamma 90.00
_space_group_name_H-M_alt 'A m m 2'
_space_group_IT_number 38
_space_group_name_Hall 'A 2 -2'
loop_
_atom_site_label
_atom_site_fract_x
_atom_site_fract_y
_atom_site_fract_z
_atom_site_occupancy
Y1 0.000 0.000 0.000 1
Er1 0.500 0.000 0.278 1
Ga1 0.000 0.000 0.717 1
Ga2 0.500 0.000 0.563 1
```



This record from Alexandria via LeMat-Bulk describes a relaxed Y2ErGa crystal. The functional is PBE.

Computed properties:
Uncorrected energy = -5.34 eV/atom
ΔE_f = -0.84 eV/f.u.
Offset from the most stable computed form = 0.091 eV per atom
ρ = 5.99 g cm⁻³

```
data_Y2ErGa
_chemical_formula_sum 'Y6 Er3 Ga3'
_cell_length_a 3.6207
_cell_length_b 3.6207
_cell_length_c 30.4047
_cell_angle_alpha 90.00
_cell_angle_beta 90.00
_cell_angle_gamma 120.00
_space_group_name_H-M_alt 'R 3 m'
_space_group_IT_number 160
_space_group_name_Hall 'R 3 -2"'
loop_
_atom_site_label
_atom_site_fract_x
_atom_site_fract_y
_atom_site_fract_z
_atom_site_occupancy
Y1 0.0000 0.0000 0.0000 1
Y2 0.0000 0.0000 0.1907 1
Er1 0.0000 0.0000 0.4290 1
Ga1 0.0000 0.0000 0.5950 1
```